[1]
The following is a DFT calculation (meta-GGA SCAN) of a PBEsol-optimized structure of TlAuSe2.

The structure belongs to space group R3m (No. 160, hexagonal axes); the cell edges are 4.0959, 4.0959 and 18.7840 Å and the angles 90.00°, 90.00° and 120.00°. The distinct sites, in fractional coordinates, are Tl at (0.0000, 0.0000, 0.0000), Au at (0.0000, 0.0000, 0.2410), Se at (0.0000, 0.0000, 0.5191) and Se at (0.0000, 0.0000, 0.7479).

The value obtained for the raw total energy is -544.5 eV for the cell shown. The uncorrected formation energy comes out at 0.04 eV/atom. The density of states at the Fermi level comes out at 0.555 states/eV per atom.

[2]
The following is a DFT calculation (meta-GGA SCAN) of a PBEsol-optimized structure of CaNb3H.

The structure belongs to space group Pm-3m (No. 221); the cell edges are 4.690, 4.690 and 4.690 Å and the angles 90.00°, 90.00° and 90.00°. The distinct sites, in fractional coordinates, are Ca at (0.000, 0.000, 0.000), Nb at (0.000, 0.000, 0.500) and H at (0.500, 0.500, 0.500).

The value obtained for the raw total energy is -97.0 eV for the cell shown. The density of states at the Fermi level comes out at 1.468 states/eV per atom.

[3]
The following is a DFT calculation (meta-GGA SCAN) of a PBEsol-optimized structure of BeAl2Se.

The structure belongs to space group I4/mmm (No. 139); the cell edges are 3.717, 3.717 and 9.480 Å and the angles 90.00°, 90.00° and 90.00°. The distinct sites, in fractional coordinates, are Be at (0.000, 0.000, 0.000), Al at (0.000, 0.500, 0.250) and Se at (0.000, 0.000, 0.500).

The value obtained for the raw total energy is -77.1 eV for the cell shown. The uncorrected formation energy comes out at 0.35 eV/atom. The density of states at the Fermi level comes out at 0.342 states/eV per atom.

[4]
The following is a DFT calculation (meta-GGA SCAN) of a PBEsol-optimized structure of Li5Ag4.

The structure belongs to space group P6_3/mcm (No. 193); the cell edges are 7.7521, 7.7521 and 5.4324 Å and the angles 90.00°, 90.00° and 120.00°. The distinct sites, in fractional coordinates, are Li at (0.0000, 0.3101, 0.2500), Li at (0.3333, 0.6667, 0.0000), Ag at (0.0000, 0.0000, 0.0000) and Ag at (0.0000, 0.3535, 0.7500).

The value obtained for the formation energy from the elements is -0.141 eV per atom. The value obtained for the raw total energy is -277.4 eV for the cell shown. The density of states at the Fermi level comes out at 0.245 states/eV per atom.

raw total energy of number 1 (TlAuSe2)? -544.5 eV for the cell shown

Please write out number 3 again, unchanged.
The following is a DFT calculation (meta-GGA SCAN) of a PBEsol-optimized structure of BeAl2Se.

The structure belongs to space group I4/mmm (No. 139); the cell edges are 3.717, 3.717 and 9.480 Å and the angles 90.00°, 90.00° and 90.00°. The distinct sites, in fractional coordinates, are Be at (0.000, 0.000, 0.000), Al at (0.000, 0.500, 0.250) and Se at (0.000, 0.000, 0.500).

The value obtained for the raw total energy is -77.1 eV for the cell shown. The uncorrected formation energy comes out at 0.35 eV/atom. The density of states at the Fermi level comes out at 0.342 states/eV per atom.

raw total energy of number 1 (TlAuSe2)? -544.5 eV for the cell shown